The following is a DFT calculation (GGA-PBE) of a relaxed structure of CsTe2Os.

The structure belongs to space group I-42d (No. 122); the cell edges are 8.289, 8.289 and 8.658 Å and the angles 90.00°, 90.00° and 90.00°. The distinct sites, in fractional coordinates, are Cs at (0.000, 0.000, 0.000), Te at (0.127, 0.250, 0.625) and Os at (0.000, 0.000, 0.500).

The crystal system is tetragonal. The uncorrected formation energy comes out at -0.0869 eV/atom. The polymorph energy (0 for the lowest one) is 0.00 eV per formula unit. The calculation puts the total energy at -18.71 eV/f.u.